Entry 1:
Cs3PPt2 | PBE | optimized geometry

Structure (CIF):
```
data_Cs3PPt2
_cell_length_a 8.528
_cell_length_b 10.784
_cell_length_c 11.677
_cell_angle_alpha 90.00
_cell_angle_beta 109.35
_cell_angle_gamma 90.00
_symmetry_space_group_name_H-M 'P 1 21/c 1'
_symmetry_Int_Tables_number 14
loop_
_symmetry_equiv_pos_as_xyz
'x,y,z'
'-x,-y,-z'
'-x,y+1/2,-z+1/2'
'x,-y+1/2,z+1/2'
loop_
_atom_site_label
_atom_site_type_symbol
_atom_site_fract_x
_atom_site_fract_y
_atom_site_fract_z
_atom_site_occupancy
Cs1 Cs 0.235 0.093 0.008 1
Cs2 Cs 0.245 0.033 0.630 1
Cs3 Cs 0.255 0.685 0.840 1
P1 P 0.380 0.126 0.354 1
Pt1 Pt 0.109 0.140 0.294 1
Pt2 Pt 0.483 0.702 0.639 1
```

Values from the calculation:
Formation energy, kJ per mole of atoms: -14
M_tot, μB/atom: 0.000
Total energy, eV per atom: -3.484
Crystal system: monoclinic

***

Entry 2:
Th8Te4AsIr3 | PBE | optimized geometry

Structure (CIF):
```
data_Th8Te4AsIr3
_cell_length_a 8.5229
_cell_length_b 8.5229
_cell_length_c 22.5899
_cell_angle_alpha 90.00
_cell_angle_beta 90.00
_cell_angle_gamma 120.00
_symmetry_space_group_name_H-M 'R -3 m'
_symmetry_Int_Tables_number 166
_symmetry_space_group_name_Hall '-R 3 2"'
loop_
_atom_site_label
_atom_site_type_symbol
_atom_site_fract_x
_atom_site_fract_y
_atom_site_fract_z
_atom_site_occupancy
Th1 Th 0.0000 0.0000 0.2331 1
Th2 Th 0.0103 0.5052 0.7633 1
Te1 Te 0.0000 0.0000 0.0000 1
Te2 Te 0.0000 0.5000 0.0000 1
As1 As 0.0000 0.0000 0.5000 1
Ir1 Ir 0.0000 0.5000 0.5000 1
```

Values from the calculation:
Formation energy (no corrections), eV/atom: -1.14
M_tot, μB/atom: 0.000
Total energy, eV per atom: -7.586
Crystal system: trigonal

***

Entry 3:
Zn2As2Ru | PBE | optimized geometry

Structure (CIF):
```
data_Zn2As2Ru
_cell_length_a 3.275
_cell_length_b 3.275
_cell_length_c 17.131
_cell_angle_alpha 90.00
_cell_angle_beta 90.00
_cell_angle_gamma 90.00
_symmetry_space_group_name_H-M 'I 4/m m m'
_symmetry_Int_Tables_number 139
_symmetry_space_group_name_Hall '-I 4 2'
loop_
_atom_site_label
_atom_site_type_symbol
_atom_site_fract_x
_atom_site_fract_y
_atom_site_fract_z
_atom_site_occupancy
Zn1 Zn 0.000 0.500 0.250 1
As1 As 0.000 0.000 0.081 1
Ru1 Ru 0.000 0.000 0.500 1
```

Values from the calculation:
Formation energy, kJ per mole of atoms: 23
M_tot, μB/atom: 0.157
Offset from the most stable computed form, kJ per mole of atoms: 12.5
Total energy, eV per atom: -3.983
Crystal system: tetragonal

***

Entry 4:
MgBe2Ag | PBE | optimized geometry

Structure (CIF):
```
data_MgBe2Ag
_cell_length_a 7.000
_cell_length_b 4.023
_cell_length_c 4.800
_cell_angle_alpha 90.00
_cell_angle_beta 118.11
_cell_angle_gamma 90.00
_symmetry_space_group_name_H-M 'C 1 2/m 1'
_symmetry_Int_Tables_number 12
loop_
_symmetry_equiv_pos_as_xyz
'x,y,z'
'-x,-y,-z'
'-x,y,-z'
'x,-y,z'
'x+1/2,y+1/2,z'
'-x+1/2,-y+1/2,-z'
'-x+1/2,y+1/2,-z'
'x+1/2,-y+1/2,z'
loop_
_atom_site_label
_atom_site_type_symbol
_atom_site_fract_x
_atom_site_fract_y
_atom_site_fract_z
_atom_site_occupancy
Mg1 Mg 0.000 0.000 0.000 1
Be1 Be 0.198 0.000 0.593 1
Ag1 Ag 0.000 0.500 0.500 1
```

Values from the calculation:
Formation energy, kJ per mole of atoms: 21
M_tot, μB/atom: 0.000
Total energy, eV per atom: -2.760
Crystal system: monoclinic

***

Entry 5:
ScSbH2Au | PBE | optimized geometry

Structure (CIF):
```
data_ScSbH2Au
_cell_length_a 3.853
_cell_length_b 3.853
_cell_length_c 6.104
_cell_angle_alpha 90.00
_cell_angle_beta 90.00
_cell_angle_gamma 90.00
_symmetry_space_group_name_H-M 'P 4/m m m'
_symmetry_Int_Tables_number 123
_symmetry_space_group_name_Hall '-P 4 2'
loop_
_atom_site_label
_atom_site_type_symbol
_atom_site_fract_x
_atom_site_fract_y
_atom_site_fract_z
_atom_site_occupancy
Sc1 Sc 0.000 0.000 0.000 1
Sb1 Sb 0.500 0.500 0.000 1
H1 H 0.000 0.500 0.500 1
Au1 Au 0.000 0.000 0.500 1
```

Values from the calculation:
M_tot, μB/atom: 0.000
Total energy, eV per atom: -4.015
Crystal system: tetragonal

***

Entry 6:
PrTmCdRu | PBE | optimized geometry

Structure (CIF):
```
data_PrTmCdRu
_cell_length_a 3.505
_cell_length_b 3.505
_cell_length_c 7.794
_cell_angle_alpha 90.00
_cell_angle_beta 90.00
_cell_angle_gamma 90.00
_symmetry_space_group_name_H-M 'P 4 m m'
_symmetry_Int_Tables_number 99
loop_
_symmetry_equiv_pos_as_xyz
'x,y,z'
'-y,x,z'
'-x,-y,z'
'y,-x,z'
'-x,y,z'
'y,x,z'
'x,-y,z'
'-y,-x,z'
loop_
_atom_site_label
_atom_site_type_symbol
_atom_site_fract_x
_atom_site_fract_y
_atom_site_fract_z
_atom_site_occupancy
Pr1 Pr 0.000 0.000 0.000 1
Tm1 Tm 0.000 0.000 0.568 1
Cd1 Cd 0.500 0.500 0.305 1
Ru1 Ru 0.500 0.500 0.765 1
```

Values from the calculation:
Formation energy, kJ per mole of atoms: -31
M_tot, μB/atom: 0.000
Offset from the most stable computed form, kJ per mole of atoms: 0.0
Total energy, eV per atom: -5.184
Crystal system: tetragonal

***

Entry 7:
Li2Cd2Cl | PBE | optimized geometry

Structure (CIF):
```
data_Li2Cd2Cl
_cell_length_a 3.879
_cell_length_b 3.879
_cell_length_c 16.178
_cell_angle_alpha 90.00
_cell_angle_beta 90.00
_cell_angle_gamma 90.00
_symmetry_space_group_name_H-M 'I 4/m m m'
_symmetry_Int_Tables_number 139
_symmetry_space_group_name_Hall '-I 4 2'
loop_
_atom_site_label
_atom_site_type_symbol
_atom_site_fract_x
_atom_site_fract_y
_atom_site_fract_z
_atom_site_occupancy
Li1 Li 0.000 0.000 0.095 1
Cd1 Cd 0.000 0.500 0.250 1
Cl1 Cl 0.000 0.000 0.500 1
```

Values from the calculation:
Formation energy (no corrections), eV/atom: -0.46
M_tot, μB/atom: 0.000
Offset from the most stable computed form, kJ per mole of atoms: 3.4
Total energy, eV per atom: -1.960
Crystal system: tetragonal

***

Entry 8:
SrYMg2 | PBE | optimized geometry

Structure (CIF):
```
data_SrYMg2
_cell_length_a 7.965
_cell_length_b 7.965
_cell_length_c 7.965
_cell_angle_alpha 90.00
_cell_angle_beta 90.00
_cell_angle_gamma 90.00
_symmetry_space_group_name_H-M 'F m -3 m'
_symmetry_Int_Tables_number 225
_symmetry_space_group_name_Hall '-F 4 2 3'
loop_
_atom_site_label
_atom_site_type_symbol
_atom_site_fract_x
_atom_site_fract_y
_atom_site_fract_z
_atom_site_occupancy
Sr1 Sr 0.000 0.000 0.000 1
Y1 Y 0.000 0.000 0.500 1
Mg1 Mg 0.250 0.250 0.250 1
```

Values from the calculation:
Formation energy, kJ per mole of atoms: -2
M_tot, μB/atom: 0.000
Offset from the most stable computed form, kJ per mole of atoms: 4.1
Total energy, eV per atom: -2.850
Crystal system: cubic